Model A:
Here is LuSc2In after structural relaxation from the Alexandria database. Energies are from PBE.

Cell and atoms, written as CIF:
```
data_LuSc2In
_chemical_formula_sum 'Lu1 Sc2 In1'
_space_group_name_H-M_alt 'P 1'
_space_group_IT_number 1
_space_group_name_Hall 'P 1'
_cell_length_a 3.382
_cell_length_b 3.382
_cell_length_c 8.698
_cell_angle_alpha 90.00
_cell_angle_beta 90.00
_cell_angle_gamma 90.00
loop_
_atom_site_label
_atom_site_type_symbol
_atom_site_fract_x
_atom_site_fract_y
_atom_site_fract_z
Sc1 Sc 0.000 0.000 0.231
Sc2 Sc 0.000 0.000 0.769
Lu1 Lu 0.500 0.500 0.500
In1 In 0.500 0.500 0.000
```

Output
- symmetry = No. 123
- magnetic moment (μB/cell) = 0.000
- calculated volume (Å³ per atom) = 24.9

***

Model B:
Here is LuSc2In after structural relaxation from the Alexandria database. Energies are from PBE.

Cell and atoms, written as CIF:
```
data_LuSc2In
_chemical_formula_sum 'Lu1 Sc2 In1'
_space_group_name_H-M_alt 'P 1'
_space_group_IT_number 1
_space_group_name_Hall 'P 1'
_cell_length_a 5.157
_cell_length_b 5.157
_cell_length_c 5.157
_cell_angle_alpha 60.00
_cell_angle_beta 60.00
_cell_angle_gamma 60.00
loop_
_atom_site_label
_atom_site_type_symbol
_atom_site_fract_x
_atom_site_fract_y
_atom_site_fract_z
Sc1 Sc 0.750 0.750 0.750
Sc2 Sc 0.250 0.250 0.250
In1 In 0.000 0.000 0.000
Lu1 Lu 0.500 0.500 0.500
```

Output
- symmetry = No. 225
- magnetic moment (μB/cell) = 1.101
- calculated volume (Å³ per atom) = 24.2

***

Energy comparison, zero being the most stable, in eV/atom: model A 0.000; model B 0.074.

***

Model A:
Here is LuScIn after structural relaxation from the Alexandria database. Energies are from PBE.

Cell and atoms, written as CIF:
```
data_LuScIn
_chemical_formula_sum 'Lu1 Sc1 In1'
_space_group_name_H-M_alt 'P 1'
_space_group_IT_number 1
_space_group_name_Hall 'P 1'
_cell_length_a 3.146
_cell_length_b 5.165
_cell_length_c 5.165
_cell_angle_alpha 120.00
_cell_angle_beta 90.00
_cell_angle_gamma 90.00
loop_
_atom_site_label
_atom_site_type_symbol
_atom_site_fract_x
_atom_site_fract_y
_atom_site_fract_z
Sc1 Sc 0.166 0.333 0.667
Lu1 Lu 0.167 0.000 0.000
In1 In 0.668 0.667 0.333
```

Output
- symmetry = No. 156
- magnetic moment (μB/cell) = 0.000
- calculated volume (Å³ per atom) = 24.2

***

Model B:
Here is LuScIn after structural relaxation from the Alexandria database. Energies are from PBE.

Cell and atoms, written as CIF:
```
data_LuScIn
_chemical_formula_sum 'Lu1 Sc1 In1'
_space_group_name_H-M_alt 'P 1'
_space_group_IT_number 1
_space_group_name_Hall 'P 1'
_cell_length_a 3.372
_cell_length_b 3.372
_cell_length_c 7.024
_cell_angle_alpha 103.89
_cell_angle_beta 103.89
_cell_angle_gamma 90.00
loop_
_atom_site_label
_atom_site_type_symbol
_atom_site_fract_x
_atom_site_fract_y
_atom_site_fract_z
Sc1 Sc 0.325 0.325 0.651
In1 In 0.672 0.672 0.343
Lu1 Lu 0.003 0.003 0.006
```

Output
- symmetry = No. 107
- magnetic moment (μB/cell) = 0.001
- calculated volume (Å³ per atom) = 25.0

***

Energy comparison, zero being the most stable, in eV/atom: model A 0.231; model B 0.000.

***

Model A:
Here is LuInSn2 after structural relaxation from the Alexandria database. Energies are from PBE.

Cell and atoms, written as CIF:
```
data_LuInSn2
_chemical_formula_sum 'Lu1 In1 Sn2'
_space_group_name_H-M_alt 'P 1'
_space_group_IT_number 1
_space_group_name_Hall 'P 1'
_cell_length_a 4.882
_cell_length_b 4.882
_cell_length_c 8.467
_cell_angle_alpha 73.24
_cell_angle_beta 73.24
_cell_angle_gamma 60.00
loop_
_atom_site_label
_atom_site_type_symbol
_atom_site_fract_x
_atom_site_fract_y
_atom_site_fract_z
Sn1 Sn 0.882 0.882 0.355
Sn2 Sn 0.118 0.118 0.645
In1 In 0.000 0.000 0.000
Lu1 Lu 0.500 0.500 0.500
```

Output
- symmetry = No. 166
- magnetic moment (μB/cell) = 0.000
- calculated volume (Å³ per atom) = 41.2

***

Model B:
Here is LuInSn2 after structural relaxation from the Alexandria database. Energies are from PBE.

Cell and atoms, written as CIF:
```
data_LuInSn2
_chemical_formula_sum 'Lu1 In1 Sn2'
_space_group_name_H-M_alt 'P 1'
_space_group_IT_number 1
_space_group_name_Hall 'P 1'
_cell_length_a 4.081
_cell_length_b 4.081
_cell_length_c 6.293
_cell_angle_alpha 90.00
_cell_angle_beta 90.00
_cell_angle_gamma 90.00
loop_
_atom_site_label
_atom_site_type_symbol
_atom_site_fract_x
_atom_site_fract_y
_atom_site_fract_z
Sn1 Sn 0.000 0.000 0.741
Sn2 Sn 0.000 0.000 0.259
In1 In 0.500 0.500 0.000
Lu1 Lu 0.500 0.500 0.500
```

Output
- symmetry = No. 123
- magnetic moment (μB/cell) = 0.000
- calculated volume (Å³ per atom) = 26.2

***

Energy comparison, zero being the most stable, in eV/atom: model A 0.551; model B 0.000.

***

Model A:
Here is SrLuIn after structural relaxation from the Alexandria database. Energies are from PBE.

Cell and atoms, written as CIF:
```
data_SrLuIn
_chemical_formula_sum 'Sr1 Lu1 In1'
_space_group_name_H-M_alt 'P 1'
_space_group_IT_number 1
_space_group_name_Hall 'P 1'
_cell_length_a 3.824
_cell_length_b 3.824
_cell_length_c 7.343
_cell_angle_alpha 105.09
_cell_angle_beta 105.09
_cell_angle_gamma 90.00
loop_
_atom_site_label
_atom_site_type_symbol
_atom_site_fract_x
_atom_site_fract_y
_atom_site_fract_z
Lu1 Lu 0.302 0.302 0.604
In1 In 0.683 0.683 0.366
Sr1 Sr 0.015 0.015 0.030
```

Output
- symmetry = No. 107
- magnetic moment (μB/cell) = 0.000
- calculated volume (Å³ per atom) = 33.3

***

Model B:
Here is SrLuIn after structural relaxation from the Alexandria database. Energies are from PBE.

Cell and atoms, written as CIF:
```
data_SrLuIn
_chemical_formula_sum 'Sr1 Lu1 In1'
_space_group_name_H-M_alt 'P 1'
_space_group_IT_number 1
_space_group_name_Hall 'P 1'
_cell_length_a 3.910
_cell_length_b 5.425
_cell_length_c 5.425
_cell_angle_alpha 120.00
_cell_angle_beta 90.00
_cell_angle_gamma 90.00
loop_
_atom_site_label
_atom_site_type_symbol
_atom_site_fract_x
_atom_site_fract_y
_atom_site_fract_z
Lu1 Lu 0.139 0.000 0.000
In1 In 0.204 0.333 0.667
Sr1 Sr 0.658 0.667 0.333
```

Output
- symmetry = No. 156
- magnetic moment (μB/cell) = 0.000
- calculated volume (Å³ per atom) = 33.2

***

Energy comparison, zero being the most stable, in eV/atom: model A 0.000; model B 0.067.

***

Model A:
Here is Lu2ThIn after structural relaxation from the Alexandria database. Energies are from PBE.

Cell and atoms, written as CIF:
```
data_Lu2ThIn
_chemical_formula_sum 'Lu2 Th1 In1'
_space_group_name_H-M_alt 'P 1'
_space_group_IT_number 1
_space_group_name_Hall 'P 1'
_cell_length_a 4.762
_cell_length_b 4.861
_cell_length_c 4.861
_cell_angle_alpha 90.00
_cell_angle_beta 90.00
_cell_angle_gamma 90.00
loop_
_atom_site_label
_atom_site_type_symbol
_atom_site_fract_x
_atom_site_fract_y
_atom_site_fract_z
In1 In 0.500 0.000 0.000
Lu1 Lu 0.000 0.500 0.000
Lu2 Lu 0.000 0.000 0.500
Th1 Th 0.500 0.500 0.500
```

Output
- symmetry = No. 123
- magnetic moment (μB/cell) = 0.000
- calculated volume (Å³ per atom) = 28.1

***

Model B:
Here is Lu2ThIn after structural relaxation from the Alexandria database. Energies are from PBE.

Cell and atoms, written as CIF:
```
data_Lu2ThIn
_chemical_formula_sum 'Lu2 Th1 In1'
_space_group_name_H-M_alt 'P 1'
_space_group_IT_number 1
_space_group_name_Hall 'P 1'
_cell_length_a 3.534
_cell_length_b 3.534
_cell_length_c 8.960
_cell_angle_alpha 90.00
_cell_angle_beta 90.00
_cell_angle_gamma 90.00
loop_
_atom_site_label
_atom_site_type_symbol
_atom_site_fract_x
_atom_site_fract_y
_atom_site_fract_z
Lu1 Lu 0.000 0.000 0.231
Lu2 Lu 0.000 0.000 0.769
In1 In 0.500 0.500 0.000
Th1 Th 0.500 0.500 0.500
```

Output
- symmetry = No. 123
- magnetic moment (μB/cell) = 0.000
- calculated volume (Å³ per atom) = 28.0

***

Model C:
Here is Lu2ThIn after structural relaxation from the Alexandria database. Energies are from PBE.

Cell and atoms, written as CIF:
```
data_Lu2ThIn
_chemical_formula_sum 'Lu2 Th1 In1'
_space_group_name_H-M_alt 'P 1'
_space_group_IT_number 1
_space_group_name_Hall 'P 1'
_cell_length_a 5.407
_cell_length_b 5.407
_cell_length_c 5.407
_cell_angle_alpha 60.00
_cell_angle_beta 60.00
_cell_angle_gamma 60.00
loop_
_atom_site_label
_atom_site_type_symbol
_atom_site_fract_x
_atom_site_fract_y
_atom_site_fract_z
In1 In 0.500 0.500 0.500
Lu1 Lu 0.250 0.250 0.250
Lu2 Lu 0.750 0.750 0.750
Th1 Th 0.000 0.000 0.000
```

Output
- symmetry = No. 225
- magnetic moment (μB/cell) = 1.434
- calculated volume (Å³ per atom) = 27.9

***

Energy comparison, zero being the most stable, in eV/atom: model A 0.047; model B 0.000; model C 0.243.

***

Model A:
Here is LuThIn after structural relaxation from the Alexandria database. Energies are from PBE.

Cell and atoms, written as CIF:
```
data_LuThIn
_chemical_formula_sum 'Lu1 Th1 In1'
_space_group_name_H-M_alt 'P 1'
_space_group_IT_number 1
_space_group_name_Hall 'P 1'
_cell_length_a 3.623
_cell_length_b 5.290
_cell_length_c 5.290
_cell_angle_alpha 120.00
_cell_angle_beta 90.00
_cell_angle_gamma 90.00
loop_
_atom_site_label
_atom_site_type_symbol
_atom_site_fract_x
_atom_site_fract_y
_atom_site_fract_z
In1 In 0.092 0.000 0.000
Th1 Th 0.686 0.333 0.667
Lu1 Lu 0.222 0.667 0.333
```

Output
- symmetry = No. 156
- magnetic moment (μB/cell) = 0.000
- calculated volume (Å³ per atom) = 29.3

***

Model B:
Here is LuThIn after structural relaxation from the Alexandria database. Energies are from PBE.

Cell and atoms, written as CIF:
```
data_LuThIn
_chemical_formula_sum 'Lu1 Th1 In1'
_space_group_name_H-M_alt 'P 1'
_space_group_IT_number 1
_space_group_name_Hall 'P 1'
_cell_length_a 3.578
_cell_length_b 3.578
_cell_length_c 7.265
_cell_angle_alpha 104.26
_cell_angle_beta 104.26
_cell_angle_gamma 90.00
loop_
_atom_site_label
_atom_site_type_symbol
_atom_site_fract_x
_atom_site_fract_y
_atom_site_fract_z
Lu1 Lu 0.295 0.295 0.590
Th1 Th 0.611 0.611 0.223
In1 In 0.943 0.943 0.887
```

Output
- symmetry = No. 107
- magnetic moment (μB/cell) = 0.000
- calculated volume (Å³ per atom) = 29.1

***

Energy comparison, zero being the most stable, in eV/atom: model A 0.119; model B 0.000.

***

Model A:
Here is Lu2VIn after structural relaxation from the Alexandria database. Energies are from PBE.

Cell and atoms, written as CIF:
```
data_Lu2VIn
_chemical_formula_sum 'Lu2 V1 In1'
_space_group_name_H-M_alt 'P 1'
_space_group_IT_number 1
_space_group_name_Hall 'P 1'
_cell_length_a 5.099
_cell_length_b 5.099
_cell_length_c 5.099
_cell_angle_alpha 60.00
_cell_angle_beta 60.00
_cell_angle_gamma 60.00
loop_
_atom_site_label
_atom_site_type_symbol
_atom_site_fract_x
_atom_site_fract_y
_atom_site_fract_z
In1 In 0.500 0.500 0.500
V1 V 0.000 0.000 0.000
Lu1 Lu 0.750 0.750 0.750
Lu2 Lu 0.250 0.250 0.250
```

Output
- symmetry = No. 225
- magnetic moment (μB/cell) = 3.426
- calculated volume (Å³ per atom) = 23.4

***

Model B:
Here is Lu2VIn after structural relaxation from the Alexandria database. Energies are from PBE.

Cell and atoms, written as CIF:
```
data_Lu2VIn
_chemical_formula_sum 'Lu2 V1 In1'
_space_group_name_H-M_alt 'P 1'
_space_group_IT_number 1
_space_group_name_Hall 'P 1'
_cell_length_a 3.590
_cell_length_b 3.590
_cell_length_c 7.284
_cell_angle_alpha 90.00
_cell_angle_beta 90.00
_cell_angle_gamma 90.00
loop_
_atom_site_label
_atom_site_type_symbol
_atom_site_fract_x
_atom_site_fract_y
_atom_site_fract_z
V1 V 0.500 0.500 0.000
Lu1 Lu 0.000 0.000 0.229
Lu2 Lu 0.000 0.000 0.771
In1 In 0.500 0.500 0.500
```

Output
- symmetry = No. 123
- magnetic moment (μB/cell) = 2.998
- calculated volume (Å³ per atom) = 23.5

***

Energy comparison, zero being the most stable, in eV/atom: model A 0.040; model B 0.000.

***

Model A:
Here is Y2LuIn after structural relaxation from the Alexandria database. Energies are from PBE.

Cell and atoms, written as CIF:
```
data_Y2LuIn
_chemical_formula_sum 'Y2 Lu1 In1'
_space_group_name_H-M_alt 'P 1'
_space_group_IT_number 1
_space_group_name_Hall 'P 1'
_cell_length_a 5.429
_cell_length_b 5.429
_cell_length_c 5.429
_cell_angle_alpha 60.00
_cell_angle_beta 60.00
_cell_angle_gamma 60.00
loop_
_atom_site_label
_atom_site_type_symbol
_atom_site_fract_x
_atom_site_fract_y
_atom_site_fract_z
In1 In 0.500 0.500 0.500
Lu1 Lu 0.000 0.000 0.000
Y1 Y 0.750 0.750 0.750
Y2 Y 0.250 0.250 0.250
```

Output
- symmetry = No. 225
- magnetic moment (μB/cell) = 0.698
- calculated volume (Å³ per atom) = 28.3

***

Model B:
Here is Y2LuIn after structural relaxation from the Alexandria database. Energies are from PBE.

Cell and atoms, written as CIF:
```
data_Y2LuIn
_chemical_formula_sum 'Y2 Lu1 In1'
_space_group_name_H-M_alt 'P 1'
_space_group_IT_number 1
_space_group_name_Hall 'P 1'
_cell_length_a 3.564
_cell_length_b 3.564
_cell_length_c 9.193
_cell_angle_alpha 90.00
_cell_angle_beta 90.00
_cell_angle_gamma 90.00
loop_
_atom_site_label
_atom_site_type_symbol
_atom_site_fract_x
_atom_site_fract_y
_atom_site_fract_z
Y1 Y 0.000 0.000 0.230
Y2 Y 0.000 0.000 0.770
In1 In 0.500 0.500 0.000
Lu1 Lu 0.500 0.500 0.500
```

Output
- symmetry = No. 123
- magnetic moment (μB/cell) = 0.000
- calculated volume (Å³ per atom) = 29.2

***

Energy comparison, zero being the most stable, in eV/atom: model A 0.079; model B 0.000.